Compound: TcSn2Ru
Source: Alexandria
Functional: PBEsol
Structure: relaxed

```
TcSn2Ru
1.0
-4.2991 -1.3994 -0.2647
-0.9339 -4.4285 -0.1636
-1.9407 -2.0376 3.5486
Ru Sn Tc
1 2 1
Cartesian
-3.5868 -3.9327 1.5601
-1.7934 -1.9664 0.7801
-5.3803 -5.8991 2.3402
0.0000 0.0000 0.0000
```

D(E_F) ... 3.484 states/eV/f.u.
Energy relative to the elements ... 21 meV/atom